[1]
18
Lattice="5.012 0.001 0.201 -0.003 10.556 0.002 -0.424 -0.002 10.548" Properties=species:S:1:pos:R:3 comment="Pr2Er6Mg | the Alexandria database | PBE-GGA | relaxed" relative_energy_mev_per_atom=0 e_tot_ev_per_atom=-4.251 density_g_cm3=7.8 e_form_kj_per_mol_atoms=3 pbc="T T T"
Pr -0.354 3.545 8.818
Pr 2.220 8.825 7.105
Pr 2.365 1.731 3.645
Pr 4.939 7.011 1.932
Er -0.073 10.542 1.744
Er 4.798 7.023 5.462
Er 4.657 7.060 8.969
Er 2.223 1.781 7.155
Er 2.506 1.744 0.115
Er 2.363 5.264 3.633
Er 4.658 0.014 9.007
Er -0.213 3.533 5.289
Er -0.072 3.496 1.781
Er 2.362 8.774 3.595
Er 2.079 8.812 10.636
Er 2.223 5.291 7.117
Mg 2.504 5.279 0.101
Mg -0.212 -0.001 5.274



[2]
4
Lattice="5.626 0.000 0.000 2.813 4.872 0.000 2.813 1.624 4.594" Properties=species:S:1:pos:R:3 comment="Pr2ErMg | the Alexandria database | PBE-GGA | relaxed" relative_energy_mev_per_atom=38 e_tot_ev_per_atom=-3.920 density_g_cm3=6.2 e_form_kj_per_mol_atoms=1 pbc="T T T"
Pr 2.813 1.624 1.148
Pr 8.439 4.872 3.445
Mg 5.626 3.248 2.297
Er 0.000 0.000 0.000



[3]
11
Lattice="5.532 -0.117 0.074 0.133 9.341 4.867 -0.079 1.573 8.381" Properties=species:S:1:pos:R:3 comment="Pr8Er2Mg | the Alexandria database | PBE-GGA | relaxed" relative_energy_mev_per_atom=131 e_tot_ev_per_atom=-4.312 density_g_cm3=6.3 e_form_kj_per_mol_atoms=13 pbc="T T T"
Pr 2.836 6.863 5.728
Pr 2.837 10.144 10.830
Pr 0.088 6.171 3.215
Pr 5.591 7.628 7.937
Pr 5.526 2.996 5.430
Pr 5.497 4.567 10.076
Pr 2.748 0.596 2.463
Pr 2.749 3.877 7.565
Er 2.797 3.838 3.887
Er 2.788 6.901 9.406
Mg 0.133 9.307 4.849



[4]
4
Lattice="5.102 0.000 0.000 2.551 4.418 0.000 2.551 1.473 4.166" Properties=species:S:1:pos:R:3 comment="PrErMgRu | the Alexandria database | PBE-GGA | relaxed" relative_energy_mev_per_atom=93 e_tot_ev_per_atom=-5.169 density_g_cm3=7.7 e_form_kj_per_mol_atoms=-11 pbc="T T T"
Pr 5.102 2.946 2.083
Ru 2.551 1.473 1.041
Mg 7.653 4.418 3.124
Er 0.000 0.000 0.000



[5]
4
Lattice="3.441 0.000 0.000 0.000 3.441 0.000 0.000 0.000 8.595" Properties=species:S:1:pos:R:3 comment="PrErMgRu | the Alexandria database | PBE-GGA | relaxed" relative_energy_mev_per_atom=0 e_tot_ev_per_atom=-5.262 density_g_cm3=7.1 e_form_kj_per_mol_atoms=-20 pbc="T T T"
Pr 1.721 1.721 6.617
Er 1.721 1.721 3.222
Mg 0.000 0.000 0.712
Ru 0.000 0.000 4.788



[6]
12
Lattice="6.313 -0.004 0.014 -3.158 5.466 0.014 -1.083 -1.876 11.690" Properties=species:S:1:pos:R:3 comment="Pr6Sm3Er2Mg | the Alexandria database | PBE-GGA | relaxed" e_tot_ev_per_atom=-4.436 density_g_cm3=6.8 e_form_kj_per_mol_atoms=3 pbc="T T T"
Pr 3.132 1.789 8.849
Pr 2.094 3.626 2.901
Pr -1.061 1.798 2.869
Pr -0.016 3.607 8.849
Pr -0.023 -0.040 8.817
Pr 2.088 -0.021 2.869
Sm -2.119 3.615 5.859
Sm 4.190 -0.029 5.859
Sm 1.036 1.793 5.859
Er 0.001 3.642 0.014
Er 3.154 1.821 0.014
Mg 0.000 0.000 0.000



[7]
12
Lattice="-2.882 -2.097 5.162 6.100 -1.165 -0.884 1.626 11.029 4.115" Properties=species:S:1:pos:R:3 comment="Pr6Sm2Er3Mg | the Alexandria database | PBE-GGA | relaxed" e_tot_ev_per_atom=-4.435 density_g_cm3=7.0 e_form_kj_per_mol_atoms=1 pbc="T T T"
Pr 2.146 5.648 7.294
Pr 2.830 0.332 4.256
Pr 2.699 2.118 1.100
Pr 5.122 5.957 5.291
Pr 2.014 7.434 4.137
Pr -0.277 1.810 3.103
Sm 3.108 -1.476 1.130
Sm 0.110 -1.787 3.148
Er 5.420 4.194 2.179
Er -0.575 3.572 6.214
Er 2.422 3.883 4.197
Mg 0.000 0.000 0.000



[8]
8
Lattice="-0.236 -4.528 -3.675 1.147 -6.000 7.317 -4.146 -2.450 3.284" Properties=species:S:1:pos:R:3 comment="PrSm4Er2Mg | the Alexandria database | PBE-GGA | relaxed" e_tot_ev_per_atom=-4.225 density_g_cm3=7.1 e_form_kj_per_mol_atoms=7 pbc="T T T"
Pr 0.456 -5.264 1.821
Sm -2.262 -6.325 7.937
Sm -0.972 -6.652 -1.011
Sm -0.314 -7.365 4.459
Sm -2.921 -5.612 2.467
Er -4.146 -2.450 3.284
Er -2.191 -3.489 -0.196
Mg -1.500 -4.225 5.301



[9]
4
Lattice="5.374 0.000 0.000 2.687 4.654 0.000 2.687 1.551 4.388" Properties=species:S:1:pos:R:3 comment="PrErMgSn | the Alexandria database | PBE-GGA | relaxed" e_tot_ev_per_atom=-4.134 density_g_cm3=6.8 e_form_kj_per_mol_atoms=-38 pbc="T T T"
Pr 0.000 0.000 0.000
Mg 8.060 4.654 3.291
Sn 2.687 1.551 1.097
Er 5.374 3.102 2.194



[10]
8
Lattice="5.795 0.000 0.000 0.000 9.417 0.270 0.000 3.423 4.669" Properties=species:S:1:pos:R:3 comment="Tb4PrEr2Mg | the Alexandria database | PBE-GGA | relaxed" e_tot_ev_per_atom=-4.160 density_g_cm3=7.6 e_form_kj_per_mol_atoms=9 pbc="T T T"
Tb 0.000 9.617 3.711
Tb 5.795 3.223 1.229
Tb 2.897 7.908 1.382
Tb 2.897 4.932 3.557
Pr 2.897 8.131 4.804
Er 0.000 3.423 4.669
Er 2.897 1.711 2.335
Mg 0.000 6.420 2.470



[11]
20
Lattice="8.401 -1.625 -1.686 1.185 8.755 -2.195 1.185 -2.518 8.668" Properties=species:S:1:pos:R:3 comment="Tb6PrEr2Mg | the Alexandria database | PBE-GGA | relaxed" e_tot_ev_per_atom=-4.210 density_g_cm3=7.6 e_form_kj_per_mol_atoms=11 pbc="T T T"
Tb 1.528 -1.084 6.540
Tb 5.043 -1.151 6.470
Tb 9.243 5.696 -1.754
Tb 5.728 5.763 -1.684
Tb 3.162 -1.297 3.443
Tb 3.408 1.936 6.797
Tb 7.609 5.908 1.343
Tb 7.363 2.676 -2.011
Tb 2.108 5.124 2.234
Tb 4.463 3.382 0.426
Tb 8.663 -0.512 2.552
Tb 6.308 1.230 4.360
Pr 3.285 7.906 -2.190
Pr 7.486 -3.294 6.976
Er 5.425 4.414 3.424
Er 1.145 2.167 1.091
Er 5.346 0.198 1.362
Er 9.626 2.445 3.695
Mg 3.285 2.082 3.422
Mg 7.486 2.530 1.364



[12]
20
Lattice="-5.093 7.661 3.620 -3.183 -5.899 5.697 7.933 3.251 1.971" Properties=species:S:1:pos:R:3 comment="Tb2Pr6ErMg | the Alexandria database | PBE-GGA | relaxed" e_tot_ev_per_atom=-4.297 density_g_cm3=6.6 e_form_kj_per_mol_atoms=11 pbc="T T T"
Tb 0.829 0.975 7.605
Tb 0.349 -0.636 2.217
Tb -1.172 4.038 3.683
Tb -0.692 5.649 9.071
Pr 5.349 2.129 2.347
Pr 3.911 4.861 4.766
Pr -5.692 2.884 8.941
Pr -4.254 0.152 6.522
Pr -1.332 -2.146 7.649
Pr -2.792 -1.880 3.949
Pr 0.989 7.159 3.638
Pr 2.449 6.893 7.339
Pr 1.233 -1.611 5.390
Pr -1.152 1.046 4.799
Pr -1.576 6.624 5.898
Pr 0.809 3.967 6.489
Er -4.256 -3.819 6.535
Er 3.913 8.832 4.753
Mg 2.157 1.460 4.385
Mg -2.500 3.553 6.903



[13]
12
Lattice="-3.328 -3.119 4.289 0.731 -2.385 -5.743 10.520 -3.638 3.990" Properties=species:S:1:pos:R:3 comment="Tb2Pr6Er3Mg | the Alexandria database | PBE-GGA | relaxed" e_tot_ev_per_atom=-4.415 density_g_cm3=7.1 e_form_kj_per_mol_atoms=2 pbc="T T T"
Tb -0.622 -2.630 -2.399
Tb -1.975 -2.875 0.946
Pr 5.263 -6.984 3.567
Pr 0.692 -5.045 -0.089
Pr 2.659 -2.158 -1.030
Pr 6.611 -6.740 0.234
Pr 7.231 -4.097 2.626
Pr 1.311 -2.402 2.303
Er 5.315 -4.327 -2.077
Er 2.608 -4.816 4.614
Er 3.961 -4.571 1.268
Mg 0.000 0.000 0.000



[14]
10
Lattice="-1.245 0.743 -5.433 2.825 -5.336 -1.377 -6.238 -7.071 0.463" Properties=species:S:1:pos:R:3 comment="Tb2PrErMg | the Alexandria database | PBE-GGA | relaxed" e_tot_ev_per_atom=-4.022 density_g_cm3=7.0 e_form_kj_per_mol_atoms=2 pbc="T T T"
Tb -3.810 -9.103 -4.736
Tb -0.848 -2.562 -1.611
Tb -4.044 -4.191 -1.101
Tb -0.614 -7.474 -5.246
Pr -3.771 -5.645 -4.272
Pr -0.886 -6.020 -2.075
Er 2.059 -4.300 -2.515
Er -6.717 -7.365 -3.833
Mg -0.496 -3.865 -4.780
Mg -4.162 -7.800 -1.568



[15]
8
Lattice="4.966 0.000 0.000 0.000 4.874 1.021 0.000 2.799 10.954" Properties=species:S:1:pos:R:3 comment="TbPr2Er4Mg | the Alexandria database | PBE-GGA | relaxed" e_tot_ev_per_atom=-4.219 density_g_cm3=7.5 e_form_kj_per_mol_atoms=3 pbc="T T T"
Tb 0.000 3.837 5.987
Pr 0.000 4.874 1.021
Pr 2.483 1.400 5.477
Er 0.000 5.752 8.991
Er 4.966 1.921 2.984
Er 2.483 4.357 3.496
Er 2.483 3.316 8.479
Mg 2.483 2.437 0.511



[16]
12
Lattice="-0.870 -4.468 4.219 -1.215 -1.100 -5.986 11.599 -1.717 -0.958" Properties=species:S:1:pos:R:3 comment="Tb6Pr3Er2Mg | the Alexandria database | PBE-GGA | relaxed" e_tot_ev_per_atom=-4.368 density_g_cm3=7.5 e_form_kj_per_mol_atoms=3 pbc="T T T"
Tb 7.270 -6.056 -0.361
Tb 1.266 -4.580 -1.554
Tb 2.245 -1.228 -2.364
Tb 7.155 -4.936 -3.753
Tb 8.248 -2.704 -1.171
Tb 2.359 -2.348 1.028
Pr 4.642 -2.517 -4.773
Pr 4.873 -4.767 2.047
Pr 4.757 -3.642 -1.363
Er -1.100 -2.223 -2.581
Er -0.985 -3.344 0.814
Mg 0.000 0.000 0.000



[17]
8
Lattice="4.999 0.000 0.000 0.000 4.905 1.016 0.000 2.841 10.976" Properties=species:S:1:pos:R:3 comment="Tb4Pr2ErMg | the Alexandria database | PBE-GGA | relaxed" e_tot_ev_per_atom=-4.252 density_g_cm3=7.2 e_form_kj_per_mol_atoms=3 pbc="T T T"
Tb 0.000 5.811 8.998
Tb 4.999 1.936 2.994
Tb 2.500 4.387 3.504
Tb 2.499 3.360 8.488
Pr 0.000 2.841 10.976
Pr 2.499 1.420 5.488
Er 0.000 3.873 5.996
Mg 2.499 2.453 0.508



[18]
18
Lattice="4.355 0.000 0.000 -2.177 9.575 0.000 0.000 0.000 13.572" Properties=species:S:1:pos:R:3 comment="Pr2ErMgTe5 | the Alexandria database | PBE-GGA | relaxed" e_tot_ev_per_atom=-4.743 raw_formation_energy_ev_per_atom=-1.2516 density_g_cm3=6.5 pbc="T T T"
Pr 2.177 7.025 10.909
Pr 0.000 2.146 9.249
Pr 0.000 2.550 4.123
Pr 2.177 7.429 2.463
Er 2.177 5.656 6.958
Er 0.000 3.919 0.173
Mg 2.177 1.085 12.967
Mg 0.000 8.490 6.181
Te 0.000 6.939 13.552
Te 2.177 3.636 11.549
Te 0.000 9.505 10.549
Te 0.000 5.411 9.081
Te 2.177 8.598 7.799
Te 2.177 2.636 6.766
Te 0.000 5.940 4.763
Te 2.177 0.071 3.763
Te 2.177 4.164 2.295
Te 0.000 0.978 1.013



[19]
15
Lattice="8.755 0.000 0.000 -4.378 7.583 -0.027 0.000 -5.029 7.335" Properties=species:S:1:pos:R:3 comment="Pr3Er3MgTe8 | the Alexandria database | PBE-GGA | relaxed" e_tot_ev_per_atom=-4.958 raw_formation_energy_ev_per_atom=-1.3079 density_g_cm3=6.7 pbc="T T T"
Pr 0.000 0.000 0.000
Pr -2.189 3.791 -0.013
Pr 2.189 3.791 -0.013
Er 4.378 -2.515 3.668
Er 2.189 1.277 3.654
Er -2.189 1.277 3.654
Mg 0.000 -2.515 3.668
Te 0.000 2.534 1.940
Te 4.378 0.019 5.368
Te 4.378 2.538 1.944
Te 0.000 0.015 5.364
Te 6.570 -1.259 1.958
Te -2.192 3.812 5.351
Te 2.186 -1.259 1.958
Te 2.192 3.812 5.351



[20]
4
Lattice="3.613 0.000 0.000 0.000 3.613 0.000 0.000 0.000 9.339" Properties=species:S:1:pos:R:3 comment="PrErThMg | the Alexandria database | PBE-GGA | relaxed" relative_energy_mev_per_atom=0 e_tot_ev_per_atom=-4.629 density_g_cm3=7.7 e_form_kj_per_mol_atoms=-4 pbc="T T T"
Pr 0.000 0.000 0.736
Er 0.000 0.000 5.238
Th 1.807 1.807 7.591
Mg 1.807 1.807 3.102